An optimized crystal structure of La3PmTlFe, computed with GGA-PBE.

For the total magnetization, the calculation gives 0.00 μB/f.u. As for the formation energy: -84 kJ/mol of formula units. The volume comes out at 714.2 Å³/cell.

Cell: 17.1781 7.2454 6.1279 Å, 90.00 110.54 90.00°
Closest atoms and distances in Å follow each position.
Space group C2/m (No. 12)
One atom of each set of equivalent atoms:
La 0.1181 0.2420 0.1069 x8  1 Fe 2.61
La 0.1898 0.5000 0.7024 x4  1 Fe 3.27, 4 La 3.55-3.65, 4 Tl 3.56-3.65, 2 Pm 3.60
Pm 0.0000 0.2367 0.5000 x4  2 Fe 2.78
Tl 0.1917 0.0000 0.6898 x4  2 Pm 3.53, 10 La 3.56-3.78
Fe 0.0239 0.5000 0.8475 x4  1 Fe 2.29

An optimized crystal structure of LaPmZnFe, computed with GGA-PBE.

For the total magnetization, the calculation gives 1.56 μB/f.u. As for the formation energy: 6 kJ/mol of formula units. The volume comes out at 379.9 Å³/cell.

Cell: 7.2422 7.2422 7.2422 Å, 90.00 90.00 90.00°
Closest atoms and distances in Å follow each position.
Space group F-43m (No. 216)
One atom of each set of equivalent atoms:
La 0.0000 0.0000 0.0000 x4  4 Fe 3.14, 4 Zn 3.14
Pm 0.0000 0.0000 0.5000 x4  4 Fe 3.14, 4 Zn 3.14
Zn 0.2500 0.2500 0.2500 x4  4 La 3.14, 4 Pm 3.14
Fe 0.2500 0.2500 0.7500 x4  4 La 3.14, 4 Pm 3.14

An optimized crystal structure of La3PrFe, computed with GGA-PBE.

For the total magnetization, the calculation gives 0.00 μB/f.u. As for the formation energy: 49 kJ/mol of formula units. The volume comes out at 1305.1 Å³/cell.

Cell: 13.1663 7.8598 13.1525 Å, 90.00 106.48 90.00°
Closest atoms and distances in Å follow each position.
Space group C2/c (No. 15)
One atom of each set of equivalent atoms:
La 0.1135 0.0264 0.3595 x8  2 Fe 2.80
La 0.1135 0.4727 0.3596 x8  2 Fe 2.80
La 0.1253 0.2503 0.6253 x8  2 Fe 2.64
Pr 0.1500 0.2497 0.0920 x8  12 La 3.67-4.10, 1 Pr 4.05
Fe 0.0000 0.2507 0.7500 x4  6 La 2.64-2.80
Fe 0.2500 0.2500 0.5000 x4  6 La 2.64-2.80

An optimized crystal structure of La3PrFe, computed with GGA-PBE.

For the total magnetization, the calculation gives 0.00 μB/f.u. As for the formation energy: 57 kJ/mol of formula units. The volume comes out at 163.1 Å³/cell.

Cell: 5.4635 5.4635 5.4635 Å, 90.00 90.00 90.00°
Closest atoms and distances in Å follow each position.
Space group Pm-3m (No. 221)
One atom of each set of equivalent atoms:
La 0.0000 0.0000 0.5000 x3  2 Fe 2.73
Pr 0.5000 0.5000 0.5000 x1  12 La 3.86
Fe 0.0000 0.0000 0.0000 x1  6 La 2.73

An optimized crystal structure of LaPr3Fe, computed with GGA-PBE.

For the total magnetization, the calculation gives 0.83 μB/f.u. As for the formation energy: 103 kJ/mol of formula units. The volume comes out at 164.8 Å³/cell.

Cell: 5.4827 5.4827 5.4827 Å, 90.00 90.00 90.00°
Closest atoms and distances in Å follow each position.
Space group Pm-3m (No. 221)
One atom of each set of equivalent atoms:
La 0.0000 0.0000 0.0000 x1  12 Pr 3.88
Pr 0.0000 0.5000 0.5000 x3  2 Fe 2.74
Fe 0.5000 0.5000 0.5000 x1  6 Pr 2.74

An optimized crystal structure of LaPrFe4, computed with GGA-PBE.

For the total magnetization, the calculation gives 7.72 μB/f.u. As for the formation energy: 62 kJ/mol of formula units. The volume comes out at 417.3 Å³/cell.

Cell: 7.4730 7.4730 7.4730 Å, 90.00 90.00 90.00°
Closest atoms and distances in Å follow each position.
Space group F-43m (No. 216)
One atom of each set of equivalent atoms:
La 0.0000 0.0000 0.0000 x4  12 Fe 3.10, 4 Pr 3.24
Pr 0.2500 0.2500 0.2500 x4  12 Fe 3.10, 4 La 3.24
Fe 0.1253 0.1253 0.6253 x16  6 Fe 2.64-2.65

An optimized crystal structure of La3PrTlFe, computed with GGA-PBE.

For the total magnetization, the calculation gives 0.00 μB/f.u. As for the formation energy: -80 kJ/mol of formula units. The volume comes out at 723.3 Å³/cell.

Cell: 17.2250 7.2555 6.1676 Å, 90.00 110.21 90.00°
Closest atoms and distances in Å follow each position.
Space group C2/m (No. 12)
One atom of each set of equivalent atoms:
La 0.1181 0.2439 0.1057 x8  1 Fe 2.58
La 0.1913 0.5000 0.7034 x4  1 Fe 3.26, 4 La 3.55-3.65, 4 Tl 3.57-3.64, 2 Pr 3.64
Pr 0.0000 0.2356 0.5000 x4  2 Fe 2.82
Tl 0.1933 0.0000 0.6910 x4  2 Pr 3.56, 10 La 3.57-3.82
Fe 0.0271 0.5000 0.8527 x4  1 Fe 2.31, 2 La 2.58

An optimized crystal structure of LaFePt, computed with GGA-PBE.

For the total magnetization, the calculation gives 2.95 μB/f.u. As for the formation energy: 116 kJ/mol of formula units. The volume comes out at 300.5 Å³/cell.

Cell: 6.6979 6.6979 6.6979 Å, 90.00 90.00 90.00°
Closest atoms and distances in Å follow each position.
Space group F-43m (No. 216)
One atom of each set of equivalent atoms:
La 0.0000 0.0000 0.0000 x4  4 Fe 2.90, 4 Pt 2.90
Fe 0.2500 0.2500 0.7500 x4  4 La 2.90
Pt 0.2500 0.2500 0.2500 x4  4 La 2.90

An optimized crystal structure of La2Fe2Pt, computed with GGA-PBE.

For the total magnetization, the calculation gives 2.94 μB/f.u. As for the formation energy: -100 kJ/mol of formula units. The volume comes out at 205.8 Å³/cell.

Cell: 6.9838 6.9838 4.2188 Å, 90.00 90.00 90.00°
Closest atoms and distances in Å follow each position.
Space group P4/mbm (No. 127)
One atom of each set of equivalent atoms:
La 0.1881 0.3119 0.0000 x4  6 Fe 2.88-3.03
Fe 0.1133 0.6133 0.5000 x4  1 Fe 2.24
Pt 0.0000 0.0000 0.5000 x2  4 Fe 2.81

An optimized crystal structure of La12Fe5Pt3, computed with GGA-PBE.

For the total magnetization, the calculation gives 0.00 μB/f.u. As for the formation energy: -207 kJ/mol of formula units. The volume comes out at 4515.3 Å³/cell.

Cell: 16.5283 16.5283 16.5283 Å, 90.00 90.00 90.00°
Closest atoms and distances in Å follow each position.
Space group Ia-3d (No. 230)
One atom of each set of equivalent atoms:
La 0.0288 0.0581 0.6522 x96  2 Fe 2.46-2.73
Fe 0.0000 0.0000 0.0000 x16  6 La 2.73
Fe 0.0000 0.2500 0.3750 x24  4 La 2.46
Pt 0.0000 0.2500 0.1250 x24  8 La 3.16-3.24

An optimized crystal structure of La3FePt, computed with GGA-PBE.

For the total magnetization, the calculation gives 0.00 μB/f.u. As for the formation energy: -82 kJ/mol of formula units. The volume comes out at 136.0 Å³/cell.

Cell: 5.1420 5.1420 5.1420 Å, 90.00 90.00 90.00°
Closest atoms and distances in Å follow each position.
Space group Pm-3m (No. 221)
One atom of each set of equivalent atoms:
La 0.0000 0.0000 0.5000 x3  2 Fe 2.57
Fe 0.0000 0.0000 0.0000 x1  6 La 2.57
Pt 0.5000 0.5000 0.5000 x1  12 La 3.64

An optimized crystal structure of LaFe4Pt, computed with GGA-PBE.

For the total magnetization, the calculation gives 10.62 μB/f.u. As for the formation energy: -17 kJ/mol of formula units. The volume comes out at 374.4 Å³/cell.

Cell: 7.2076 7.2076 7.2076 Å, 90.00 90.00 90.00°
Closest atoms and distances in Å follow each position.
Space group F-43m (No. 216)
One atom of each set of equivalent atoms:
La 0.0000 0.0000 0.0000 x4  12 Fe 2.99, 4 Pt 3.12
Fe 0.1242 0.1242 0.3758 x16  6 Fe 2.53-2.56
Pt 0.2500 0.2500 0.7500 x4  12 Fe 2.99, 4 La 3.12